i) Crystalline KFeCoS3 at its relaxed geometry. Source: the Open Quantum Materials Database, functional PBE.

It has space group P2_1/m (No. 11), with a = 7.894 Å, b = 3.446 Å, c = 8.925 Å, α = 90.00°, β = 115.67° and γ = 90.00°. The inequivalent atoms are K at (0.012, 0.250, 0.261), Fe at (0.474, 0.250, 0.165), Co at (0.480, 0.750, 0.391), S at (0.267, 0.750, 0.141), S at (0.336, 0.750, 0.561) and S at (0.355, 0.250, 0.876).

The size of the total moment is 1.34 μB/f.u.

=====

ii) Crystalline KFeCoS3 at its relaxed geometry. Source: the Open Quantum Materials Database, functional PBE.

It has space group Pnma (No. 62), with a = 14.209 Å, b = 3.442 Å, c = 8.948 Å, α = 90.00°, β = 90.00° and γ = 90.00°. The inequivalent atoms are K at (0.243, 0.250, 0.049), Fe at (0.014, 0.250, 0.326), Co at (0.011, 0.750, 0.101), S at (0.072, 0.250, 0.569), S at (0.081, 0.750, 0.876) and S at (0.118, 0.750, 0.269).

The size of the total moment is 0.29 μB/f.u.

=====

What is the stability order? It is ii), i), from most stable to least stable.

=====

i) Crystalline LuFeCoPb at its relaxed geometry. Source: the Open Quantum Materials Database, functional PBE.

It has space group F-43m (No. 216), with a = 6.647 Å, b = 6.647 Å, c = 6.647 Å, α = 90.00°, β = 90.00° and γ = 90.00°. The inequivalent atoms are Lu at (0.000, 0.000, 0.000), Fe at (0.000, 0.000, 0.500), Co at (0.250, 0.250, 0.750) and Pb at (0.250, 0.250, 0.250).

The size of the total moment is 4.29 μB/f.u.

=====

ii) Crystalline LuFeCoPb at its relaxed geometry. Source: the Open Quantum Materials Database, functional PBE.

It has space group F-43m (No. 216), with a = 6.490 Å, b = 6.490 Å, c = 6.490 Å, α = 90.00°, β = 90.00° and γ = 90.00°. The inequivalent atoms are Lu at (0.000, 0.000, 0.000), Fe at (0.250, 0.250, 0.250), Co at (0.250, 0.250, 0.750) and Pb at (0.000, 0.000, 0.500).

The size of the total moment is 2.41 μB/f.u.

=====

What is the stability order? It is ii), i), from most stable to least stable.